1.
The following is a PBE calculation of Ba2CuRe after structural relaxation, from Alexandria via LeMat-Bulk.

Unit cell a=6.170 b=6.170 c=6.170 alpha=135.43 beta=135.43 gamma=64.86
Fractional positions:
Ba 0.000 0.000 0.000
Ba 0.750 0.250 0.500
Cu 0.250 0.750 0.500
Re 0.500 0.500 0.000

## Properties
relative energy among the computed polymorphs	440	meV/atom
energy relative to the elements	1.11	eV per atom
uncorrected energy	-0.14648	Ha/atom

***

2.
The following is a PBE calculation of Mg2TlSn after structural relaxation, from Alexandria via LeMat-Bulk.

Unit cell a=10.302 b=10.302 c=10.302 alpha=153.47 beta=153.47 gamma=37.88
Fractional positions:
Mg 0.121 0.625 0.996
Mg 0.375 0.371 0.496
Mg 0.629 0.125 0.004
Mg 0.875 0.879 0.504
Tl 0.000 0.000 0.000
Tl 0.750 0.250 0.500
Sn 0.250 0.750 0.500
Sn 0.500 0.500 0.000

## Properties
energy relative to the elements	0.06	eV per atom
uncorrected energy	-0.08562	Ha/atom